Entry 1:
# Ac3Pm3Dy2 GGA-PBE relaxed
# total magnetization: 0.000 μB per cell
# E_form: 2.58 kcal/mol of atoms
# mass density: 8.0 g/cm³
# total energy: -4.361 eV per atom
# D(E_F): 15.5 states/eV/f.u.
data_Ac3Pm3Dy2
_chemical_formula_sum 'Ac3 Pm3 Dy2'
_cell_length_a 6.153
_cell_length_b 6.144
_cell_length_c 7.896
_cell_angle_alpha 90.00
_cell_angle_beta 90.00
_cell_angle_gamma 90.00
_symmetry_space_group_name_H-M 'P 1'
_symmetry_Int_Tables_number 1
loop_
_symmetry_equiv_pos_as_xyz
'x,y,z'
loop_
_atom_site_label
_atom_site_type_symbol
_atom_site_fract_x
_atom_site_fract_y
_atom_site_fract_z
Ac1 Ac 0.500 0.000 0.000
Ac2 Ac 0.000 0.500 0.500
Ac3 Ac 0.500 0.000 0.500
Pm1 Pm 0.500 0.500 0.759
Pm2 Pm 0.500 0.500 0.241
Pm3 Pm 0.000 0.500 0.000
Dy1 Dy 0.000 0.000 0.759
Dy2 Dy 0.000 0.000 0.241

Entry 2:
# AcPmDy5 GGA-PBE relaxed
# total magnetization: 0.000 μB per cell
# E_form: 2.21 kcal/mol of atoms
# mass density: 8.2 g/cm³
# total energy: -4.457 eV per atom
# D(E_F): 10.9 states/eV/f.u.
data_AcPmDy5
_chemical_formula_sum 'Ac2 Pm2 Dy10'
_cell_length_a 6.662
_cell_length_b 6.662
_cell_length_c 11.950
_cell_angle_alpha 106.25
_cell_angle_beta 106.25
_cell_angle_gamma 95.63
_symmetry_space_group_name_H-M 'P 1'
_symmetry_Int_Tables_number 1
loop_
_symmetry_equiv_pos_as_xyz
'x,y,z'
loop_
_atom_site_label
_atom_site_type_symbol
_atom_site_fract_x
_atom_site_fract_y
_atom_site_fract_z
Dy1 Dy 0.384 0.036 0.833
Dy2 Dy 0.237 0.529 0.965
Dy3 Dy 0.036 0.384 0.333
Dy4 Dy 0.964 0.616 0.667
Dy5 Dy 0.176 0.824 0.250
Dy6 Dy 0.616 0.964 0.167
Dy7 Dy 0.529 0.237 0.465
Dy8 Dy 0.763 0.471 0.035
Dy9 Dy 0.824 0.176 0.750
Dy10 Dy 0.471 0.763 0.535
Pm1 Pm 0.516 0.484 0.250
Pm2 Pm 0.484 0.516 0.750
Ac1 Ac 0.000 0.000 0.000
Ac2 Ac 0.000 0.000 0.500

Entry 3:
# AcPmDy2 GGA-PBE relaxed
# total magnetization: 0.001 μB per cell
# E_form: 1.51 kcal/mol of atoms
# mass density: 8.1 g/cm³
# total energy: -4.450 eV per atom
# D(E_F): 6.9 states/eV/f.u.
data_AcPmDy2
_chemical_formula_sum 'Ac4 Pm4 Dy8'
_cell_length_a 3.681
_cell_length_b 11.450
_cell_length_c 13.486
_cell_angle_alpha 90.00
_cell_angle_beta 90.00
_cell_angle_gamma 90.00
_symmetry_space_group_name_H-M 'P 1'
_symmetry_Int_Tables_number 1
loop_
_symmetry_equiv_pos_as_xyz
'x,y,z'
loop_
_atom_site_label
_atom_site_type_symbol
_atom_site_fract_x
_atom_site_fract_y
_atom_site_fract_z
Dy1 Dy 0.750 0.515 0.387
Dy2 Dy 0.750 0.757 0.996
Dy3 Dy 0.250 0.243 0.004
Dy4 Dy 0.250 0.743 0.496
Dy5 Dy 0.750 0.257 0.504
Dy6 Dy 0.250 0.985 0.887
Dy7 Dy 0.250 0.485 0.613
Dy8 Dy 0.750 0.015 0.113
Ac1 Ac 0.750 0.479 0.124
Ac2 Ac 0.750 0.979 0.376
Ac3 Ac 0.250 0.521 0.876
Ac4 Ac 0.250 0.021 0.624
Pm1 Pm 0.250 0.251 0.273
Pm2 Pm 0.750 0.249 0.773
Pm3 Pm 0.750 0.749 0.727
Pm4 Pm 0.250 0.751 0.227

Entry 4:
# AcPm4Dy GGA-PBE relaxed
# total magnetization: 0.000 μB per cell
# E_form: 4.10 kcal/mol of atoms
# mass density: 7.4 g/cm³
# total energy: -4.441 eV per atom
# D(E_F): 9.8 states/eV/f.u.
data_AcPm4Dy
_chemical_formula_sum 'Ac2 Pm8 Dy2'
_cell_length_a 9.346
_cell_length_b 6.024
_cell_length_c 10.672
_cell_angle_alpha 89.98
_cell_angle_beta 104.82
_cell_angle_gamma 130.19
_symmetry_space_group_name_H-M 'P 1'
_symmetry_Int_Tables_number 1
loop_
_symmetry_equiv_pos_as_xyz
'x,y,z'
loop_
_atom_site_label
_atom_site_type_symbol
_atom_site_fract_x
_atom_site_fract_y
_atom_site_fract_z
Ac1 Ac 0.446 0.196 0.892
Ac2 Ac 0.554 0.804 0.108
Dy1 Dy 0.050 0.300 0.101
Dy2 Dy 0.950 0.700 0.899
Pm1 Pm 0.357 0.108 0.228
Pm2 Pm 0.965 0.215 0.419
Pm3 Pm 0.643 0.892 0.772
Pm4 Pm 0.546 0.296 0.581
Pm5 Pm 0.129 0.379 0.772
Pm6 Pm 0.871 0.621 0.228
Pm7 Pm 0.454 0.704 0.419
Pm8 Pm 0.035 0.785 0.581

Entry 5:
# AcPm6Dy8 GGA-PBE relaxed
# total magnetization: 0.000 μB per cell
# E_form: 4.78 kcal/mol of atoms
# mass density: 7.8 g/cm³
# total energy: -4.421 eV per atom
# D(E_F): 21.3 states/eV/f.u.
data_AcPm6Dy8
_chemical_formula_sum 'Ac1 Pm6 Dy8'
_cell_length_a 9.782
_cell_length_b 9.782
_cell_length_c 8.347
_cell_angle_alpha 54.13
_cell_angle_beta 54.13
_cell_angle_gamma 60.00
_symmetry_space_group_name_H-M 'P 1'
_symmetry_Int_Tables_number 1
loop_
_symmetry_equiv_pos_as_xyz
'x,y,z'
loop_
_atom_site_label
_atom_site_type_symbol
_atom_site_fract_x
_atom_site_fract_y
_atom_site_fract_z
Dy1 Dy 0.140 0.612 0.304
Dy2 Dy 0.388 0.057 0.696
Dy3 Dy 0.943 0.140 0.304
Dy4 Dy 0.232 0.232 0.304
Dy5 Dy 0.057 0.860 0.696
Dy6 Dy 0.860 0.388 0.696
Dy7 Dy 0.768 0.768 0.696
Dy8 Dy 0.612 0.943 0.304
Pm1 Pm 0.429 0.618 0.783
Pm2 Pm 0.382 0.831 0.217
Pm3 Pm 0.831 0.571 0.217
Pm4 Pm 0.618 0.169 0.783
Pm5 Pm 0.571 0.382 0.217
Pm6 Pm 0.169 0.429 0.783
Ac1 Ac 0.000 0.000 0.000

Entry 6:
# Ac8Pm2Dy3 GGA-PBE relaxed
# total magnetization: 0.000 μB per cell
# E_form: 1.29 kcal/mol of atoms
# mass density: 8.3 g/cm³
# total energy: -4.265 eV per atom
# D(E_F): 22.5 states/eV/f.u.
data_Ac8Pm2Dy3
_chemical_formula_sum 'Ac8 Pm2 Dy3'
_cell_length_a 6.677
_cell_length_b 6.654
_cell_length_c 12.677
_cell_angle_alpha 69.66
_cell_angle_beta 84.80
_cell_angle_gamma 80.29
_symmetry_space_group_name_H-M 'P 1'
_symmetry_Int_Tables_number 1
loop_
_symmetry_equiv_pos_as_xyz
'x,y,z'
loop_
_atom_site_label
_atom_site_type_symbol
_atom_site_fract_x
_atom_site_fract_y
_atom_site_fract_z
Ac1 Ac 0.085 0.394 0.149
Ac2 Ac 0.845 0.224 0.695
Ac3 Ac 0.307 0.542 0.617
Ac4 Ac 0.693 0.458 0.383
Ac5 Ac 0.383 0.919 0.778
Ac6 Ac 0.617 0.081 0.222
Ac7 Ac 0.155 0.776 0.305
Ac8 Ac 0.915 0.606 0.851
Dy1 Dy 0.539 0.702 0.073
Dy2 Dy 0.461 0.298 0.927
Dy3 Dy 0.000 0.000 0.000
Pm1 Pm 0.767 0.850 0.537
Pm2 Pm 0.233 0.150 0.463

Entry 7:
# AcPm4Dy10 GGA-PBE relaxed
# total magnetization: 0.000 μB per cell
# E_form: 12.04 kcal/mol of atoms
# mass density: 7.4 g/cm³
# total energy: -4.087 eV per atom
# D(E_F): 28.6 states/eV/f.u.
data_AcPm4Dy10
_chemical_formula_sum 'Ac1 Pm4 Dy10'
_cell_length_a 6.652
_cell_length_b 9.677
_cell_length_c 9.677
_cell_angle_alpha 83.22
_cell_angle_beta 69.90
_cell_angle_gamma 69.90
_symmetry_space_group_name_H-M 'P 1'
_symmetry_Int_Tables_number 1
loop_
_symmetry_equiv_pos_as_xyz
'x,y,z'
loop_
_atom_site_label
_atom_site_type_symbol
_atom_site_fract_x
_atom_site_fract_y
_atom_site_fract_z
Dy1 Dy 0.956 0.164 0.425
Dy2 Dy 0.545 0.836 0.575
Dy3 Dy 0.250 0.500 0.500
Dy4 Dy 0.381 0.575 0.164
Dy5 Dy 0.750 0.500 0.500
Dy6 Dy 0.044 0.836 0.575
Dy7 Dy 0.619 0.425 0.836
Dy8 Dy 0.120 0.425 0.836
Dy9 Dy 0.880 0.575 0.164
Dy10 Dy 0.455 0.164 0.425
Pm1 Pm 0.433 0.890 0.245
Pm2 Pm 0.323 0.245 0.110
Pm3 Pm 0.567 0.110 0.755
Pm4 Pm 0.677 0.755 0.890
Ac1 Ac 0.000 0.000 0.000

Entry 8:
# Ac12PmDy3 GGA-PBE relaxed
# total magnetization: 0.000 μB per cell
# E_form: 0.78 kcal/mol of atoms
# mass density: 8.4 g/cm³
# total energy: -4.207 eV per atom
# D(E_F): 23.3 states/eV/f.u.
data_Ac12PmDy3
_chemical_formula_sum 'Ac12 Pm1 Dy3'
_cell_length_a 5.497
_cell_length_b 5.497
_cell_length_c 21.957
_cell_angle_alpha 90.00
_cell_angle_beta 90.00
_cell_angle_gamma 90.00
_symmetry_space_group_name_H-M 'P 1'
_symmetry_Int_Tables_number 1
loop_
_symmetry_equiv_pos_as_xyz
'x,y,z'
loop_
_atom_site_label
_atom_site_type_symbol
_atom_site_fract_x
_atom_site_fract_y
_atom_site_fract_z
Dy1 Dy 0.000 0.000 0.500
Dy2 Dy 0.000 0.000 0.749
Dy3 Dy 0.000 0.000 0.251
Ac1 Ac 0.500 0.000 0.874
Ac2 Ac 0.000 0.500 0.126
Ac3 Ac 0.000 0.500 0.375
Ac4 Ac 0.500 0.000 0.375
Ac5 Ac 0.500 0.000 0.625
Ac6 Ac 0.500 0.000 0.126
Ac7 Ac 0.500 0.500 0.000
Ac8 Ac 0.500 0.500 0.500
Ac9 Ac 0.500 0.500 0.251
Ac10 Ac 0.500 0.500 0.749
Ac11 Ac 0.000 0.500 0.625
Ac12 Ac 0.000 0.500 0.874
Pm1 Pm 0.000 0.000 0.000